Record 1
This record from Alexandria describes La8HoCo2 after structural relaxation. The functional is PBE.

The structure belongs to space group C2/m (No. 12); the cell edges are 12.4843, 8.5811 and 7.3821 Å and the angles 90.00°, 109.88° and 90.00°. The inequivalent atoms are La at (0.1095, 0.1971, 0.3111), La at (0.1292, 0.5000, 0.6771), La at (0.1833, 0.0000, 0.8260), Ho at (0.0000, 0.5000, 0.0000) and Co at (0.1847, 0.5000, 0.3787).

---

Record 2
This record from Alexandria describes LaHo2Co9 after structural relaxation. The functional is PBE.

The structure belongs to space group R-3m (No. 166, hexagonal axes); the cell edges are 5.0242, 5.0242 and 24.3133 Å and the angles 90.00°, 90.00° and 120.00°. The inequivalent atoms are La at (0.0000, 0.0000, 0.0000), Ho at (0.0000, 0.0000, 0.1403), Co at (0.0000, 0.0000, 0.3353), Co at (0.0000, 0.0000, 0.5000) and Co at (0.0042, 0.5021, 0.9170).

---

What did we get for volume? Answer: 33.81, 14.76 A^3/atom, in the order shown.
What did we get for formation energy? Answer: 2.0, -13.6 kJ/mol of atoms, in the order shown.